## Tl4Co (PBE-GGA)

Data for a relaxed Tl4Co crystal.

Energy of formation from the pure elements, meV per atom: 698
Density of states at the Fermi level, states/eV per cell: 6.8

Unit cell a=4.181 b=4.181 c=17.281 alpha=90.00 beta=90.00 gamma=90.00
Space group I4/mmm (No. 139)
One atom of each set of equivalent atoms:
1 Tl 0.000 0.000 0.086 [4 per cell]
2 Tl 0.000 0.500 0.250 [4 per cell]
3 Co 0.000 0.000 0.500 [2 per cell]